Record 1
Density functional theory data (PBE) for a relaxed Ta3CuRh4 crystal.

Unit cell a=9.058 b=5.706 c=4.746 alpha=90.00 beta=90.00 gamma=90.00
Element x y z (fractional)
Ta 0.000 0.000 0.000
Ta 0.250 0.000 0.396
Ta 0.250 0.500 0.350
Ta 0.500 0.000 0.000
Ta 0.750 0.000 0.604
Ta 0.750 0.500 0.650
Cu 0.000 0.500 0.000
Cu 0.500 0.500 0.000
Rh 0.000 0.254 0.500
Rh 0.000 0.746 0.500
Rh 0.250 0.256 0.874
Rh 0.250 0.744 0.874
Rh 0.500 0.254 0.500
Rh 0.500 0.746 0.500
Rh 0.750 0.256 0.126
Rh 0.750 0.744 0.126

DFT formation energy	-435	meV per atom
symmetry	No. 51
magnetic moment	0.00	μB/cell

=====

Record 2
Density functional theory data (PBE) for a relaxed Tb4Tl2Au crystal.

Unit cell a=8.824 b=8.824 c=7.072 alpha=112.84 beta=112.84 gamma=24.20
Element x y z (fractional)
Tb 0.088 0.088 0.441
Tb 0.381 0.381 0.079
Tb 0.619 0.619 0.921
Tb 0.912 0.912 0.559
Tl 0.250 0.250 0.298
Tl 0.750 0.750 0.702
Au 0.000 0.000 0.000

DFT formation energy	-309	meV per atom
symmetry	No. 12
magnetic moment	0.00	μB/cell
energy above the most stable polymorph in this dataset	0.28	eV per formula unit

=====

Record 3
Density functional theory data (PBE) for a relaxed NbSb2As crystal.

Unit cell a=7.753 b=7.753 c=7.753 alpha=131.14 beta=131.14 gamma=71.59
Element x y z (fractional)
Nb 0.000 0.000 0.000
Nb 0.750 0.250 0.500
Sb 0.120 0.625 0.995
Sb 0.375 0.370 0.495
Sb 0.630 0.125 0.005
Sb 0.875 0.880 0.505
As 0.250 0.750 0.500
As 0.500 0.500 0.000

symmetry	No. 122
magnetic moment	3.81	μB/cell
energy relative to the elements, uncorrected	0.50	eV per atom

=====

Record 4
Density functional theory data (PBE) for a relaxed Ni3PdN crystal.

Unit cell a=6.297 b=6.297 c=6.297 alpha=134.62 beta=134.62 gamma=66.12
Element x y z (fractional)
Ni 0.177 0.177 0.000
Ni 0.353 0.615 0.738
Ni 0.385 0.122 0.738
Ni 0.385 0.647 0.262
Ni 0.823 0.823 0.000
Ni 0.878 0.615 0.262
Pd 0.614 0.114 0.500
Pd 0.886 0.386 0.500
N 0.250 0.750 0.500
N 0.500 0.500 0.000

symmetry	No. 119
magnetic moment	2.25	μB/cell
energy relative to the elements, uncorrected	0.37	eV per atom

=====

Record 5
Density functional theory data (PBE) for a relaxed CsTl2Ag2Te2 crystal.

Unit cell a=12.217 b=12.217 c=12.217 alpha=22.70 beta=22.70 gamma=22.70
Element x y z (fractional)
Cs 0.000 0.000 0.000
Tl 0.140 0.140 0.140
Tl 0.860 0.860 0.860
Ag 0.427 0.427 0.427
Ag 0.573 0.573 0.573
Te 0.258 0.258 0.258
Te 0.742 0.742 0.742

symmetry	No. 166
magnetic moment	0.00	μB/cell
energy relative to the elements, uncorrected	-0.33	eV per atom

=====

The highest magnetic moment belongs to which entry? NbSb2As